1.
Material: Tl7H12Pb
Method: DFT, GGA-PBE
State: relaxed

```
data_Tl7H12Pb
_chemical_formula_sum 'Tl7 H12 Pb1'
_cell_length_a 6.600
_cell_length_b 8.327
_cell_length_c 8.328
_cell_angle_alpha 113.26
_cell_angle_beta 105.30
_cell_angle_gamma 105.34
_space_group_name_H-M_alt 'P 1'
_space_group_IT_number 1
_space_group_name_Hall 'P 1'
loop_
_atom_site_label
_atom_site_type_symbol
_atom_site_fract_x
_atom_site_fract_y
_atom_site_fract_z
Tl1 Tl 0.000 0.000 0.000
Tl2 Tl 0.050 0.411 0.349
Tl3 Tl 0.177 0.880 0.644
Tl4 Tl 0.345 0.175 0.469
Tl5 Tl 0.528 0.712 0.175
Tl6 Tl 0.707 0.238 0.881
Tl7 Tl 0.878 0.532 0.707
H1 H 0.176 0.359 0.858
H2 H 0.259 0.317 0.826
H3 H 0.408 0.666 0.780
H4 H 0.443 0.359 0.214
H5 H 0.490 0.034 0.148
H6 H 0.523 0.735 0.522
H7 H 0.532 0.675 0.822
H8 H 0.558 0.392 0.206
H9 H 0.604 0.066 0.137
H10 H 0.647 0.744 0.564
H11 H 0.804 0.100 0.533
H12 H 0.886 0.058 0.501
Pb1 Pb 0.026 0.706 0.175
```

## Properties
The magnetic moment comes out at 0.00 Bohr magnetons per cell. Its crystal system is triclinic. As for the final energy: -57.8 eV per cell.

2.
Material: HfICl2
Method: DFT, GGA-PBE
State: relaxed

```
data_HfICl2
_chemical_formula_sum 'Hf3 I3 Cl6'
_cell_length_a 3.3143
_cell_length_b 3.3143
_cell_length_c 36.5461
_cell_angle_alpha 90.00
_cell_angle_beta 90.00
_cell_angle_gamma 120.00
_space_group_name_H-M_alt 'R -3 m'
_space_group_IT_number 166
_space_group_name_Hall '-R 3 2"'
loop_
_atom_site_label
_atom_site_type_symbol
_atom_site_fract_x
_atom_site_fract_y
_atom_site_fract_z
Hf1 Hf 0.0000 0.0000 0.0000
I1 I 0.0000 0.0000 0.5000
Cl1 Cl 0.0000 0.0000 0.3822
```

## Properties
The magnetic moment comes out at 0.00 Bohr magnetons per cell. Its crystal system is trigonal. The calculation puts the formation energy from raw total energies at -982 meV per atom. For the energy above the most stable polymorph in this dataset, the calculation gives 0.000 eV per atom.

3.
Material: LiAc3Nd2S6
Method: DFT, GGA-PBE
State: relaxed

```
data_LiAc3Nd2S6
_chemical_formula_sum 'Li2 Ac6 Nd4 S12'
_cell_length_a 7.230
_cell_length_b 12.568
_cell_length_c 7.175
_cell_angle_alpha 90.00
_cell_angle_beta 109.81
_cell_angle_gamma 90.00
_space_group_name_H-M_alt 'C 1 2/m 1'
_space_group_IT_number 12
_space_group_name_Hall '-C 2y'
loop_
_atom_site_label
_atom_site_type_symbol
_atom_site_fract_x
_atom_site_fract_y
_atom_site_fract_z
Li1 Li 0.000 0.000 0.000
Ac1 Ac 0.000 0.167 0.500
Ac2 Ac 0.000 0.500 0.500
Nd1 Nd 0.000 0.334 0.000
S1 S 0.239 0.163 0.230
S2 S 0.247 0.000 0.770
```

## Properties
The magnetic moment comes out at 0.00 Bohr magnetons per cell. Its crystal system is monoclinic. The calculation puts the formation energy from raw total energies at -1929 meV per atom.

4.
Material: Rb2CuBCl6
Method: DFT, GGA-PBE
State: relaxed

```
data_Rb2CuBCl6
_chemical_formula_sum 'Rb4 Cu2 B2 Cl12'
_cell_length_a 7.127
_cell_length_b 7.127
_cell_length_c 10.640
_cell_angle_alpha 90.00
_cell_angle_beta 90.00
_cell_angle_gamma 90.00
_space_group_name_H-M_alt 'I 4/m m m'
_space_group_IT_number 139
_space_group_name_Hall '-I 4 2'
loop_
_atom_site_label
_atom_site_type_symbol
_atom_site_fract_x
_atom_site_fract_y
_atom_site_fract_z
Rb1 Rb 0.000 0.500 0.250
Cu1 Cu 0.000 0.000 0.000
B1 B 0.000 0.000 0.500
Cl1 Cl 0.000 0.000 0.201
Cl2 Cl 0.198 0.198 0.500
```

## Properties
The magnetic moment comes out at 0.00 Bohr magnetons per cell. Its crystal system is tetragonal. The calculation puts the formation energy from raw total energies at -977 meV per atom.

5.
Material: NpSc2Al2Ru5
Method: DFT, GGA-PBE
State: relaxed

```
data_NpSc2Al2Ru5
_chemical_formula_sum 'Np2 Sc4 Al4 Ru10'
_cell_length_a 9.926
_cell_length_b 9.926
_cell_length_c 3.331
_cell_angle_alpha 90.00
_cell_angle_beta 90.00
_cell_angle_gamma 90.00
_space_group_name_H-M_alt 'P 4/m b m'
_space_group_IT_number 127
_space_group_name_Hall '-P 4 2ab'
loop_
_atom_site_label
_atom_site_type_symbol
_atom_site_fract_x
_atom_site_fract_y
_atom_site_fract_z
Np1 Np 0.000 0.000 0.000
Sc1 Sc 0.168 0.332 0.000
Al1 Al 0.128 0.628 0.000
Ru1 Ru 0.000 0.500 0.500
Ru2 Ru 0.069 0.802 0.500
```

## Properties
The magnetic moment comes out at 1.75 Bohr magnetons per cell. As for the formation energy: -0.453 eV per atom. Its crystal system is tetragonal.

6.
Material: ErScAlFe
Method: DFT, GGA-PBE
State: relaxed

```
data_ErScAlFe
_chemical_formula_sum 'Er4 Sc4 Al4 Fe4'
_cell_length_a 6.755
_cell_length_b 6.755
_cell_length_c 6.755
_cell_angle_alpha 90.00
_cell_angle_beta 90.00
_cell_angle_gamma 90.00
_space_group_name_H-M_alt 'F -4 3 m'
_space_group_IT_number 216
_space_group_name_Hall 'F -4 2 3'
loop_
_atom_site_label
_atom_site_type_symbol
_atom_site_fract_x
_atom_site_fract_y
_atom_site_fract_z
Er1 Er 0.000 0.000 0.000
Sc1 Sc 0.000 0.000 0.500
Al1 Al 0.250 0.250 0.250
Fe1 Fe 0.250 0.250 0.750
```

## Properties
The magnetic moment comes out at 3.29 Bohr magnetons per cell. As for the formation energy: -0.148 eV per atom. Its crystal system is cubic.

7.
Material: LaBeGa3
Method: DFT, GGA-PBE
State: relaxed

```
data_LaBeGa3
_chemical_formula_sum 'La1 Be1 Ga3'
_cell_length_a 4.634
_cell_length_b 4.634
_cell_length_c 4.634
_cell_angle_alpha 90.00
_cell_angle_beta 90.00
_cell_angle_gamma 90.00
_space_group_name_H-M_alt 'P m -3 m'
_space_group_IT_number 221
_space_group_name_Hall '-P 4 2 3'
loop_
_atom_site_label
_atom_site_type_symbol
_atom_site_fract_x
_atom_site_fract_y
_atom_site_fract_z
La1 La 0.000 0.000 0.000
Be1 Be 0.500 0.500 0.500
Ga1 Ga 0.000 0.500 0.500
```

## Properties
The magnetic moment comes out at 0.00 Bohr magnetons per cell. As for the formation energy: -0.186 eV per atom. Its crystal system is cubic. For the energy above the most stable polymorph in this dataset, the calculation gives 0.000 eV per atom.

8.
Material: PrErPd2
Method: DFT, GGA-PBE
State: relaxed

```
data_PrErPd2
_chemical_formula_sum 'Pr1 Er1 Pd2'
_cell_length_a 3.490
_cell_length_b 3.490
_cell_length_c 7.397
_cell_angle_alpha 90.00
_cell_angle_beta 90.00
_cell_angle_gamma 90.00
_space_group_name_H-M_alt 'P 4/m m m'
_space_group_IT_number 123
_space_group_name_Hall '-P 4 2'
loop_
_atom_site_label
_atom_site_type_symbol
_atom_site_fract_x
_atom_site_fract_y
_atom_site_fract_z
Pr1 Pr 0.000 0.000 0.000
Er1 Er 0.000 0.000 0.500
Pd1 Pd 0.500 0.500 0.278
```

## Properties
The magnetic moment comes out at 0.00 Bohr magnetons per cell. As for the formation energy: -0.813 eV per atom. Its crystal system is tetragonal. For the energy above the most stable polymorph in this dataset, the calculation gives 0.036 eV per atom.

9.
Material: YBO3
Method: DFT, GGA-PBE
State: relaxed

```
data_YBO3
_chemical_formula_sum 'Y4 B4 O12'
_cell_length_a 6.497
_cell_length_b 8.420
_cell_length_c 4.526
_cell_angle_alpha 90.00
_cell_angle_beta 90.00
_cell_angle_gamma 90.00
_space_group_name_H-M_alt 'P n m a'
_space_group_IT_number 62
_space_group_name_Hall '-P 2ac 2n'
loop_
_atom_site_label
_atom_site_type_symbol
_atom_site_fract_x
_atom_site_fract_y
_atom_site_fract_z
Y1 Y 0.000 0.000 0.000
B1 B 0.133 0.250 0.474
O1 O 0.036 0.250 0.203
O2 O 0.181 0.106 0.608
```

## Properties
The magnetic moment comes out at 0.00 Bohr magnetons per cell. Its crystal system is orthorhombic. The calculation puts the formation energy from raw total energies at -3078 meV per atom.

10.
Material: NaCdGePt
Method: DFT, GGA-PBE
State: relaxed

```
data_NaCdGePt
_chemical_formula_sum 'Na3 Cd3 Ge3 Pt3'
_cell_length_a 4.3958
_cell_length_b 4.3958
_cell_length_c 14.1271
_cell_angle_alpha 90.00
_cell_angle_beta 90.00
_cell_angle_gamma 120.00
_space_group_name_H-M_alt 'R 3 m'
_space_group_IT_number 160
_space_group_name_Hall 'R 3 -2"'
loop_
_atom_site_label
_atom_site_type_symbol
_atom_site_fract_x
_atom_site_fract_y
_atom_site_fract_z
Na1 Na 0.0000 0.0000 0.0000
Cd1 Cd 0.0000 0.0000 0.2268
Ge1 Ge 0.0000 0.0000 0.7772
Pt1 Pt 0.0000 0.0000 0.4519
```

## Properties
The magnetic moment comes out at 0.00 Bohr magnetons per cell. As for the formation energy: -0.262 eV per atom. Its crystal system is trigonal. For the energy above the most stable polymorph in this dataset, the calculation gives 0.000 eV per atom.

11.
Material: HoPaAu2O8
Method: DFT, GGA-PBE
State: relaxed

```
data_HoPaAu2O8
_chemical_formula_sum 'Ho2 Pa2 Au4 O16'
_cell_length_a 7.122
_cell_length_b 7.122
_cell_length_c 7.103
_cell_angle_alpha 90.00
_cell_angle_beta 90.00
_cell_angle_gamma 90.00
_space_group_name_H-M_alt 'I -4 m 2'
_space_group_IT_number 119
_space_group_name_Hall 'I -4 -2'
loop_
_atom_site_label
_atom_site_type_symbol
_atom_site_fract_x
_atom_site_fract_y
_atom_site_fract_z
Ho1 Ho 0.000 0.000 0.000
Pa1 Pa 0.000 0.500 0.250
Au1 Au 0.000 0.000 0.500
Au2 Au 0.000 0.500 0.750
O1 O 0.000 0.183 0.274
O2 O 0.000 0.326 0.975
```

## Properties
The magnetic moment comes out at 0.00 Bohr magnetons per cell. Its crystal system is tetragonal. The calculation puts the formation energy from raw total energies at -1485 meV per atom.